Entry 1:
In12Si5Sn3 | PBE-GGA | relaxed

Values from the calculation:
- Space group: Ia-3d (230)
- Magnetic moment: 0.00 μB per cell
- Theoretical density: 5.40 g/cm³
- ΔE_f (raw): 0.261 eV/atom

Cell: 14.4114 14.4114 14.4114 Å, 109.47 109.47 109.47°
Fractional coordinates of all 80 atoms:
Sn1 0.7500 0.3750 0.1250
Sn2 0.8750 0.7500 0.1250
Sn3 0.3750 0.7500 0.6250
Sn4 0.2500 0.1250 0.3750
Sn5 0.8750 0.1250 0.2500
Sn6 0.3750 0.6250 0.2500
Sn7 0.6250 0.3750 0.7500
Sn8 0.1250 0.8750 0.7500
Sn9 0.7500 0.8750 0.6250
Sn10 0.6250 0.2500 0.3750
Sn11 0.1250 0.2500 0.8750
Sn12 0.2500 0.6250 0.8750
Si1 0.1250 0.3750 0.2500
Si2 0.0000 0.5000 0.0000
Si3 0.0000 0.0000 0.0000
Si4 0.3750 0.2500 0.1250
Si5 0.5000 0.0000 0.5000
Si6 0.5000 0.5000 0.0000
Si7 0.1250 0.7500 0.3750
Si8 0.7500 0.1250 0.8750
Si9 0.7500 0.6250 0.3750
Si10 0.3750 0.1250 0.7500
Si11 0.6250 0.8750 0.2500
Si12 0.5000 0.5000 0.5000
Si13 0.5000 0.0000 0.0000
Si14 0.0000 0.0000 0.5000
Si15 0.2500 0.3750 0.6250
Si16 0.2500 0.8750 0.1250
Si17 0.0000 0.5000 0.5000
Si18 0.8750 0.2500 0.6250
Si19 0.6250 0.7500 0.8750
Si20 0.8750 0.6250 0.7500
In1 0.7176 0.1230 0.0436
In2 0.3260 0.5436 0.4206
In3 0.9564 0.3770 0.2824
In4 0.5436 0.2176 0.1230
In5 0.5946 0.7176 0.6740
In6 0.9564 0.5794 0.1740
In7 0.3260 0.7824 0.4054
In8 0.0794 0.9054 0.1230
In9 0.5794 0.9564 0.6740
In10 0.7176 0.5946 0.1740
In11 0.7824 0.4564 0.3770
In12 0.8260 0.9206 0.0436
In13 0.1230 0.7176 0.5436
In14 0.3770 0.4206 0.0946
In15 0.0946 0.9206 0.3770
In16 0.4054 0.1230 0.5794
In17 0.0946 0.1740 0.2176
In18 0.4564 0.6740 0.0794
In19 0.8260 0.9054 0.2824
In20 0.1230 0.4054 0.0794
In21 0.3770 0.9564 0.7824
In22 0.5794 0.6230 0.4054
In23 0.9206 0.8260 0.5436
In24 0.7824 0.3260 0.9054
In25 0.4206 0.3770 0.5946
In26 0.0794 0.1740 0.4564
In27 0.2176 0.6740 0.0946
In28 0.1740 0.0946 0.7176
In29 0.6230 0.0436 0.2176
In30 0.8770 0.5946 0.9206
In31 0.5436 0.3260 0.9206
In32 0.5946 0.8770 0.4206
In33 0.9054 0.8260 0.7824
In34 0.9054 0.0794 0.6230
In35 0.8770 0.2824 0.4564
In36 0.1740 0.0794 0.9564
In37 0.6230 0.5794 0.9054
In38 0.4206 0.0436 0.3260
In39 0.2824 0.4054 0.8260
In40 0.2176 0.5436 0.6230
In41 0.9206 0.0946 0.8770
In42 0.6740 0.2176 0.5946
In43 0.4564 0.7824 0.8770
In44 0.0436 0.4206 0.8260
In45 0.4054 0.2824 0.3260
In46 0.0436 0.6230 0.7176
In47 0.6740 0.4564 0.5794
In48 0.2824 0.8770 0.9564



Entry 2:
NbNiIr2 | PBE-GGA | relaxed

Values from the calculation:
- Offset from the most stable computed form: 0 meV per atom
- Energy relative to the elements: -0.4514 eV per atom
- Space group: P4/mmm (123)
- Magnetic moment: 0.00 μB per cell
- Theoretical density: 15.42 g/cm³

Cell: 3.7659 3.9152 3.9152 Å, 90.00 90.00 90.00°
Fractional coordinates of all 4 atoms:
Ni1 0.5000 0.0000 0.0000
Nb1 0.5000 0.5000 0.5000
Ir1 0.0000 0.0000 0.5000
Ir2 0.0000 0.5000 0.0000



Repeat the second record exactly.
NbNiIr2 | PBE-GGA | relaxed

Values from the calculation:
- Offset from the most stable computed form: 0 meV per atom
- Energy relative to the elements: -0.4514 eV per atom
- Space group: P4/mmm (123)
- Magnetic moment: 0.00 μB per cell
- Theoretical density: 15.42 g/cm³

Cell: 3.7659 3.9152 3.9152 Å, 90.00 90.00 90.00°
Fractional coordinates of all 4 atoms:
Ni1 0.5000 0.0000 0.0000
Nb1 0.5000 0.5000 0.5000
Ir1 0.0000 0.0000 0.5000
Ir2 0.0000 0.5000 0.0000